VASP calculation (PBE) on TbCd6Ag after structural relaxation.

Structure (POSCAR):
```
TbCd6Ag
1.0
4.8555 0.0000 0.0000
0.0000 5.7635 -1.8654
0.0000 -0.9500 6.9011
Cd Ag Tb
6 1 1
Direct
0.0000 0.8223 0.1580
0.0000 0.2926 0.5853
0.5000 0.1919 0.8620
0.5000 0.6702 0.8620
0.0000 0.8575 0.7151
0.0000 0.3357 0.1580
0.5000 0.1337 0.2674
0.5000 0.6961 0.3922
```

Its offset from the most stable computed form is 0.046 eV per atom. The calculated formation energy is -0.11 eV/atom.

VASP calculation (PBE) on Tb2Cd15Ag2 after structural relaxation.

Structure (POSCAR):
```
Tb2Cd15Ag2
1.0
-7.4488 0.2666 1.5106
-2.5317 -3.0305 -6.4995
-0.8723 -7.1597 2.4115
Tb Cd Ag
2 15 2
Direct
0.6706 0.6706 0.6706
0.3294 0.3294 0.3294
0.3607 0.8425 0.3607
0.7033 0.2967 0.0000
0.0000 0.2967 0.7033
0.0000 0.7033 0.2967
0.0000 0.5000 0.0000
0.7033 0.0000 0.2967
0.1575 0.6393 0.6393
0.3607 0.3607 0.8425
0.5000 0.0000 0.0000
0.2967 0.7033 0.0000
0.6393 0.1575 0.6393
0.2967 0.0000 0.7033
0.8425 0.3607 0.3607
0.6393 0.6393 0.1575
0.0000 0.0000 0.5000
0.1046 0.1046 0.1046
0.8954 0.8954 0.8954
```

The calculated formation energy is -0.10 eV/atom.

VASP calculation (PBE) on Tb2Cd12Ag after structural relaxation.

Structure (POSCAR):
```
Tb2Cd12Ag
1.0
6.2271 0.0000 0.0000
0.0000 6.2271 0.0000
0.0000 0.0000 18.8685
Cd Tb Ag
24 4 2
Direct
0.0000 0.0000 0.3374
0.0000 0.0000 0.1936
0.7500 0.7500 0.9064
0.6685 0.8315 0.5681
0.0000 0.0000 0.8064
0.5000 0.5000 0.6626
0.0000 0.0000 0.6626
0.6685 0.1685 0.4319
0.3315 0.1685 0.5681
0.8315 0.6685 0.4319
0.2500 0.2500 0.0936
0.2500 0.7500 0.0936
0.1685 0.3315 0.4319
0.2500 0.7500 0.9064
0.1685 0.6685 0.5681
0.7500 0.7500 0.0936
0.3315 0.8315 0.4319
0.5000 0.5000 0.8064
0.8315 0.3315 0.5681
0.5000 0.5000 0.3374
0.7500 0.2500 0.9064
0.2500 0.2500 0.9064
0.5000 0.5000 0.1936
0.7500 0.2500 0.0936
0.0000 0.5000 0.7474
0.5000 0.0000 0.2526
0.5000 0.0000 0.7474
0.0000 0.5000 0.2526
0.0000 0.5000 0.0000
0.5000 0.0000 0.0000
```

The calculated formation energy is -0.06 eV/atom.

| no. | DFT total energy (eV/atom) |
| --- | --- |
| 1 | -1.7275 |
| 2 | -1.6093 |
| 3 | -1.6022 |